1.
Entry from the Alexandria database: a geometry-optimized CuAsP2 structure (GGA-PBE).

Cell: 4.9526 4.9526 5.5183 Å, 117.16 117.16 36.47°
With the nearest neighbours (Å) after each atom.
Element x y z (fractional)
Cu: 0.0000 0.0000 0.0000  3 As 2.58-2.63, 4 P 2.63-2.87
As: 0.7218 0.7218 0.9846  1 P 2.40, 3 Cu 2.58-2.63
P: 0.3196 0.3196 0.5784  2 P 2.21
P: 0.6340 0.6340 0.4987  2 P 2.21, 1 As 2.40

Summary:
- SG = Cm, No. 8
- final energy (eV/atom) = -4.594
- energy relative to the elements (kcal/mol of atoms) = 6.867

2.
Entry from the Alexandria database: a geometry-optimized Tl2SiRu structure (GGA-PBE).

Cell: 8.7000 8.7000 8.7000 Å, 22.29 22.29 22.29°
With the nearest neighbours (Å) after each atom.
Element x y z (fractional)
Tl: 0.2464 0.2464 0.2464  3 Ru 2.81, 3 Si 2.94
Tl: 0.7536 0.7536 0.7536  3 Ru 2.81, 3 Si 2.94
Si: 0.0000 0.0000 0.0000  6 Tl 2.94
Ru: 0.5000 0.5000 0.5000  6 Tl 2.81

Summary:
- SG = R-3m, No. 166
- relative energy among the computed polymorphs (meV per atom) = 693
- final energy (eV/atom) = -4.123

3.
Entry from the Alexandria database: a geometry-optimized Tb3Nd7Tm2 structure (GGA-PBE).

Cell: 5.8978 3.6161 19.0834 Å, 90.00 93.73 90.00°
With the nearest neighbours (Å) after each atom.
Element x y z (fractional)
Tb: 0.0000 0.0000 0.0000  8 Nd 3.43-3.46, 2 Tb 3.62
Tb: 0.2810 0.5000 0.6331  2 Tb 3.62, 8 Nd 3.67-3.95, 4 Tm 3.68-3.72
Tb: 0.7190 0.5000 0.3669  2 Tb 3.62, 8 Nd 3.67-3.95, 4 Tm 3.68-3.72
Nd: 0.1784 0.5000 0.1460  2 Tm 3.41, 2 Tb 3.43, 7 Nd 3.47-3.62
Nd: 0.2426 0.0000 0.4653  1 Tm 3.19, 2 Nd 3.23
Nd: 0.3190 0.0000 0.8159  6 Nd 3.51-3.62, 2 Tm 3.63-3.68, 2 Tb 3.92
Nd: 0.5000 0.5000 0.0000  4 Tb 3.46, 4 Nd 3.47-3.62
Nd: 0.6810 0.0000 0.1841  6 Nd 3.51-3.62, 2 Tm 3.63-3.68, 2 Tb 3.92
Nd: 0.7574 0.0000 0.5347  1 Tm 3.19, 2 Nd 3.23
Nd: 0.8216 0.5000 0.8540  2 Tm 3.41, 2 Tb 3.43, 7 Nd 3.47-3.62
Tm: 0.2091 0.0000 0.2975  3 Nd 3.19-3.41
Tm: 0.7909 0.0000 0.7025  3 Nd 3.19-3.41

Summary:
- SG = P2/m, No. 10
- relative energy among the computed polymorphs (meV per atom) = 19
- final energy (eV/atom) = -4.591
- energy relative to the elements (kcal/mol of atoms) = 2.153

4.
Entry from the Alexandria database: a geometry-optimized Sr2LiTl6Sn structure (GGA-PBE).

Cell: 6.4339 6.9142 7.5545 Å, 82.47 83.69 71.21°
With the nearest neighbours (Å) after each atom.
Element x y z (fractional)
Sr: 0.1265 0.3697 0.2646  8 Tl 3.40-3.80, 1 Sn 3.54, 1 Li 3.77
Sr: 0.8735 0.6303 0.7354  8 Tl 3.40-3.80, 1 Sn 3.54, 1 Li 3.77
Li: 0.0000 0.0000 0.0000  4 Tl 2.74-2.77
Tl: 0.1190 0.8599 0.3470  1 Li 2.77, 1 Sn 3.08
Tl: 0.3351 0.6746 0.8823  1 Li 2.74
Tl: 0.3713 0.1660 0.8184  1 Li 3.09, 2 Tl 3.34-3.45, 1 Sn 3.34
Tl: 0.6287 0.8340 0.1816  1 Li 3.09, 2 Tl 3.34-3.45, 1 Sn 3.34
Tl: 0.6649 0.3254 0.1177  1 Li 2.74
Tl: 0.8810 0.1401 0.6530  1 Li 2.77, 1 Sn 3.08
Sn: 0.5000 0.5000 0.5000  6 Tl 3.08-3.34

Summary:
- SG = P-1, No. 2
- final energy (eV/atom) = -2.520
- energy relative to the elements (kcal/mol of atoms) = -3.975

5.
Entry from the Alexandria database: a geometry-optimized Cs3VH6 structure (GGA-PBE).

Cell: 6.6058 6.6058 6.6050 Å, 119.98 119.98 60.00°
With the nearest neighbours (Å) after each atom.
Element x y z (fractional)
Cs: 0.0000 0.0000 0.0000  6 H 2.86
Cs: 0.2500 0.2500 0.7499  12 H 3.34-3.35
Cs: 0.7500 0.7500 0.2501  12 H 3.34-3.35
V: 0.5000 0.5000 0.5000  6 H 1.81
H: 0.3053 0.6932 0.6932  1 V 1.81
H: 0.3061 0.3061 0.3047  1 V 1.81
H: 0.3068 0.6947 0.3068  1 V 1.81
H: 0.6932 0.3053 0.6932  1 V 1.81
H: 0.6939 0.6939 0.6953  1 V 1.81
H: 0.6947 0.3068 0.3068  1 V 1.81

Summary:
- SG = C2/m, No. 12
- final energy (eV/atom) = -3.277

6.
Entry from the Alexandria database: a geometry-optimized MgHIr2 structure (GGA-PBE).

Cell: 5.3791 5.3791 5.3791 Å, 118.48 118.48 92.66°
With the nearest neighbours (Å) after each atom.
Element x y z (fractional)
Mg: 0.0000 0.0000 0.0000  8 Ir 2.90-3.13
Mg: 0.7500 0.2500 0.5000  8 Ir 2.90-3.13
H: 0.2500 0.7500 0.5000  4 Ir 1.70
H: 0.5000 0.5000 0.0000  4 Ir 1.70
Ir: 0.3079 0.6250 0.1829  2 H 1.70
Ir: 0.3750 0.5579 0.6829  2 H 1.70
Ir: 0.4421 0.1250 0.8171  2 H 1.70
Ir: 0.8750 0.6921 0.3171  2 H 1.70

Summary:
- SG = I-42d, No. 122
- relative energy among the computed polymorphs (meV per atom) = 315
- final energy (eV/atom) = -5.481

7.
Entry from the Alexandria database: a geometry-optimized Sm6Sb3Te2Pb structure (GGA-PBE).

Cell: 10.0012 10.0012 8.9744 Å, 102.87 102.87 25.84°
With the nearest neighbours (Å) after each atom.
Element x y z (fractional)
Sm: 0.0014 0.0014 0.2498  3 Sb 3.16, 2 Pb 3.17, 1 Te 3.21
Sm: 0.3337 0.3337 0.4224  3 Sb 3.14, 1 Pb 3.16, 2 Te 3.21
Sm: 0.3358 0.3358 0.9106  3 Sb 3.12, 3 Te 3.20
Sm: 0.6642 0.6642 0.0894  3 Sb 3.12, 3 Te 3.20
Sm: 0.6663 0.6663 0.5776  3 Sb 3.14, 1 Pb 3.16, 2 Te 3.21
Sm: 0.9986 0.9986 0.7502  3 Sb 3.16, 2 Pb 3.17, 1 Te 3.21
Sb: 0.1681 0.1681 0.3333  6 Sm 3.12-3.16
Sb: 0.5000 0.5000 0.0000  6 Sm 3.12-3.16
Sb: 0.8319 0.8319 0.6667  6 Sm 3.12-3.16
Te: 0.1675 0.1675 0.8355  6 Sm 3.20-3.21
Te: 0.8325 0.8325 0.1645  6 Sm 3.20-3.21
Pb: 0.5000 0.5000 0.5000  6 Sm 3.16-3.17

Summary:
- SG = C2/m, No. 12
- final energy (eV/atom) = -5.402

8.
Entry from the Alexandria database: a geometry-optimized TiGaH structure (GGA-PBE).

Cell: 6.8648 5.5444 3.8981 Å, 90.00 90.00 90.00°
With the nearest neighbours (Å) after each atom.
Element x y z (fractional)
Ti: 0.1714 0.2500 0.0097  2 H 1.99-2.00
Ti: 0.3286 0.7500 0.5097  2 H 1.99-2.00
Ti: 0.6714 0.2500 0.4903  2 H 1.99-2.00
Ti: 0.8286 0.7500 0.9903  2 H 1.99-2.00
Ga: 0.0000 0.0000 0.5000  2 H 2.04
Ga: 0.0000 0.5000 0.5000  2 H 2.04
Ga: 0.5000 0.0000 0.0000  2 H 2.04
Ga: 0.5000 0.5000 0.0000  2 H 2.04
H: 0.1061 0.7500 0.8357  2 Ti 1.99-2.00, 2 Ga 2.04
H: 0.3939 0.2500 0.3357  2 Ti 1.99-2.00, 2 Ga 2.04
H: 0.6061 0.7500 0.6643  2 Ti 1.99-2.00, 2 Ga 2.04
H: 0.8939 0.2500 0.1643  2 Ti 1.99-2.00, 2 Ga 2.04

Summary:
- SG = Pnma, No. 62
- relative energy among the computed polymorphs (meV per atom) = 396
- final energy (eV/atom) = -4.787

9.
Entry from the Alexandria database: a geometry-optimized RbTiGa structure (GGA-PBE).

Cell: 3.9219 4.7468 12.6411 Å, 92.24 96.28 114.22°
With the nearest neighbours (Å) after each atom.
Element x y z (fractional)
Rb: 0.0000 0.0000 0.0000  3 Ga 3.67-3.87, 1 Ti 3.69, 2 Rb 3.92
Rb: 0.4477 0.3733 0.6465  3 Ti 3.76-3.94, 2 Rb 3.92, 2 Ga 4.07-4.08
Ti: 0.1696 0.0580 0.2944  2 Ti 2.66-2.67, 6 Ga 2.75-2.81
Ti: 0.6219 0.8776 0.4181  2 Ti 2.66-2.67, 4 Ga 2.67-2.70
Ga: 0.4283 0.6339 0.2144  4 Ti 2.68-2.81, 2 Ga 2.88
Ga: 0.9017 0.4716 0.3676  6 Ti 2.67-2.78, 2 Ga 2.88

Summary:
- SG = P1, No. 1
- relative energy among the computed polymorphs (meV per atom) = 137
- final energy (eV/atom) = -3.822
- energy relative to the elements (kcal/mol of atoms) = 3.253

10.
Entry from the Alexandria database: a geometry-optimized AcLuHg2 structure (GGA-PBE).

Cell: 3.7767 3.7767 7.9617 Å, 90.00 90.00 90.00°
With the nearest neighbours (Å) after each atom.
Element x y z (fractional)
Ac: 0.0000 0.0000 0.0000  8 Hg 3.52, 4 Ac 3.78
Lu: 0.0000 0.0000 0.5000  8 Hg 3.16
Hg: 0.5000 0.5000 0.2887  4 Lu 3.16, 1 Hg 3.37, 4 Ac 3.52
Hg: 0.5000 0.5000 0.7113  4 Lu 3.16, 1 Hg 3.37, 4 Ac 3.52

Summary:
- SG = P4/mmm, No. 123
- final energy (eV/atom) = -2.758
- energy relative to the elements (kcal/mol of atoms) = -10.362

11.
Entry from the Alexandria database: a geometry-optimized SrNd4Si4 structure (GGA-PBE).

Cell: 9.7057 9.7057 5.9435 Å, 90.00 90.00 90.00°
With the nearest neighbours (Å) after each atom.
Element x y z (fractional)
Sr: 0.2500 0.2500 0.2500  4 Si 3.47
Sr: 0.7500 0.7500 0.7500  4 Si 3.47
Nd: 0.1108 0.6328 0.1250  5 Si 2.98-3.11
Nd: 0.1328 0.8892 0.6250  5 Si 2.98-3.11
Nd: 0.3672 0.6108 0.6250  5 Si 2.98-3.11
Nd: 0.3892 0.8672 0.1250  5 Si 2.98-3.11
Nd: 0.6108 0.1328 0.8750  5 Si 2.98-3.11
Nd: 0.6328 0.3892 0.3750  5 Si 2.98-3.11
Nd: 0.8672 0.1108 0.3750  5 Si 2.98-3.11
Nd: 0.8892 0.3672 0.8750  5 Si 2.98-3.11
Si: 0.0552 0.5790 0.6320  1 Si 2.44
Si: 0.0790 0.9448 0.1320  1 Si 2.44
Si: 0.4210 0.5552 0.1320  1 Si 2.44
Si: 0.4448 0.9210 0.6320  1 Si 2.44
Si: 0.5552 0.0790 0.3680  1 Si 2.44
Si: 0.5790 0.4448 0.8680  1 Si 2.44
Si: 0.9210 0.0552 0.8680  1 Si 2.44
Si: 0.9448 0.4210 0.3680  1 Si 2.44

Summary:
- SG = P4_2/n, No. 86
- final energy (eV/atom) = -5.153

12.
Entry from the Alexandria database: a geometry-optimized SmMgPb2 structure (GGA-PBE).

Cell: 4.8958 4.8958 4.5644 Å, 90.00 90.00 90.00°
With the nearest neighbours (Å) after each atom.
Element x y z (fractional)
Sm: 0.0000 0.0000 0.0000  8 Pb 3.35, 4 Mg 3.46
Mg: 0.5000 0.5000 0.0000  8 Pb 3.35, 4 Sm 3.46
Pb: 0.0000 0.5000 0.5000  4 Mg 3.35, 4 Sm 3.35, 4 Pb 3.46
Pb: 0.5000 0.0000 0.5000  4 Mg 3.35, 4 Sm 3.35, 4 Pb 3.46

Summary:
- SG = P4/mmm, No. 123
- final energy (eV/atom) = -3.805
- energy relative to the elements (kcal/mol of atoms) = -8.587

- Which of these has the lowest final energy?
  MgHIr2